# 1
An optimized crystal structure of KHgHF6. Source: Alexandria, functional PBE.

a b c (Å): 4.7137 5.3810 5.9025
angles (deg): 93.13 107.91 94.43
Space group P1 (No. 1)
Asymmetric unit:
K 0.0000 0.0000 0.0000 x1
Hg 0.4687 0.5127 0.5137 x1
H 0.4722 0.5223 0.0141 x1
F 0.0936 0.6263 0.3086 x1
F 0.2492 0.1840 0.5094 x1
F 0.4579 0.7032 0.9138 x1
F 0.4845 0.3436 0.1114 x1
F 0.6876 0.8409 0.5142 x1
F 0.8437 0.4015 0.7222 x1

Results
E_tot	-3.31	eV/atom
V	142	Å³ per cell
total magnetization	0.000	μB per formula unit

---

# 2
An optimized crystal structure of Ho3Si. Source: Alexandria, functional PBE.

a b c (Å): 3.9187 3.9187 15.8782
angles (deg): 90.00 90.00 90.00
Space group I4/mmm (No. 139)
Asymmetric unit:
Ho 0.0000 0.0000 0.0000 x2
Ho 0.0000 0.0000 0.3234 x4
Si 0.0000 0.0000 0.5000 x2

Results
energy above the lowest structure with this stoichiometry	144	meV/atom
V	244	Å³ per cell
D(E_F)	8.896	states/eV per cell
total magnetization	0.611	μB per formula unit
energy relative to the elements, uncorrected	-164	meV/atom

---

# 3
An optimized crystal structure of KMnCl2. Source: Alexandria, functional PBE.

a b c (Å): 7.4187 7.4187 7.4187
angles (deg): 90.00 90.00 90.00
Space group Fm-3m (No. 225)
Asymmetric unit:
K 0.0000 0.0000 0.0000 x4
Mn 0.0000 0.0000 0.5000 x4
Cl 0.2500 0.2500 0.2500 x8

Results
energy above the lowest structure with this stoichiometry	318	meV/atom
V	408	Å³ per cell
D(E_F)	20.901	states/eV per cell
total magnetization	5.916	μB per formula unit
energy relative to the elements, uncorrected	-669	meV/atom

---

# 4
An optimized crystal structure of AcTiIO6. Source: Alexandria, functional PBE.

a b c (Å): 5.4185 5.4185 10.7219
angles (deg): 90.00 90.00 120.00
Space group P-31c (No. 163)
Asymmetric unit:
Ac 0.0000 0.0000 0.0000 x2
Ti 0.3333 0.6667 0.2500 x2
I 0.3333 0.6667 0.7500 x2
O 0.0144 0.3797 0.1452 x12

Results
V	273	Å³ per cell
D(E_F)	0.000	states/eV per cell
total magnetization	0.000	μB per formula unit
energy relative to the elements, uncorrected	-2107	meV/atom

---

# 5
An optimized crystal structure of Np3Sb5. Source: Alexandria, functional PBE.

a b c (Å): 4.4020 4.4020 21.8380
angles (deg): 90.00 90.00 90.00
Space group I-4m2 (No. 119)
Asymmetric unit:
Np 0.0000 0.0000 0.0000 x2
Np 0.0000 0.5000 0.1442 x4
Sb 0.0000 0.0000 0.2496 x4
Sb 0.0000 0.0000 0.5000 x2
Sb 0.0000 0.5000 0.6111 x4

Results
V	423	Å³ per cell
D(E_F)	52.830	states/eV per cell
total magnetization	11.735	μB per formula unit
energy relative to the elements, uncorrected	-214	meV/atom

---

# 6
An optimized crystal structure of Cs2BO3. Source: Alexandria, functional PBE.

a b c (Å): 8.4862 12.0728 12.8033
angles (deg): 90.00 90.00 90.00
Space group Fmmm (No. 69)
Asymmetric unit:
Cs 0.2467 0.0000 0.0000 x8
Cs 0.2500 0.2500 0.2500 x8
B 0.0000 0.0000 0.2182 x8
O 0.0000 0.0000 0.3252 x8
O 0.0000 0.0978 0.1629 x16

Results
energy above the lowest structure with this stoichiometry	18	meV/atom
V	1312	Å³ per cell
total magnetization	0.893	μB per formula unit
energy relative to the elements, uncorrected	-1829	meV/atom

---

# 7
An optimized crystal structure of Ba12Ga3Pd5. Source: Alexandria, functional PBE.

a b c (Å): 19.3522 19.3522 19.3522
angles (deg): 90.00 90.00 90.00
Space group Ia-3d (No. 230)
Asymmetric unit:
Ba 0.0234 0.0626 0.6523 x96
Ga 0.0000 0.2500 0.1250 x24
Pd 0.0000 0.0000 0.0000 x16
Pd 0.0000 0.2500 0.3750 x24

Results
ΔE_f	-0.23	eV per atom
V	7248	Å³ per cell
D(E_F)	134.482	states/eV per cell
total magnetization	1.192	μB per formula unit

---

# 8
An optimized crystal structure of Ac12Cd2Co5. Source: Alexandria, functional PBE.

a b c (Å): 16.8723 7.9660 10.2655
angles (deg): 90.00 108.84 90.00
Space group C2/m (No. 12)
Asymmetric unit:
Ac 0.0743 0.0000 0.3185 x4
Ac 0.0934 0.5000 0.2843 x4
Ac 0.1234 0.2550 0.9696 x8
Ac 0.2044 0.2496 0.6622 x8
Cd 0.0000 0.3014 0.5000 x4
Co 0.0000 0.5000 0.0000 x2
Co 0.2395 0.0000 0.4896 x4
Co 0.2488 0.5000 0.1119 x4

Results
ΔE_f	0.01	eV per atom
V	1306	Å³ per cell
D(E_F)	33.647	states/eV per cell
total magnetization	0.000	μB per formula unit

---

# 9
An optimized crystal structure of CuC3Se. Source: Alexandria, functional PBE.

a b c (Å): 3.8696 3.8696 3.8696
angles (deg): 90.00 90.00 90.00
Space group Pm-3m (No. 221)
Asymmetric unit:
Cu 0.0000 0.0000 0.0000 x1
C 0.0000 0.5000 0.5000 x3
Se 0.5000 0.5000 0.5000 x1

Results
energy above the lowest structure with this stoichiometry	164	meV/atom
V	58	Å³ per cell
D(E_F)	2.060	states/eV per cell
total magnetization	0.000	μB per formula unit
energy relative to the elements, uncorrected	2997	meV/atom

---

# 10
An optimized crystal structure of TbPmTh4. Source: Alexandria, functional PBE.

a b c (Å): 3.5944 3.5944 15.1245
angles (deg): 90.00 90.00 90.00
Space group P4/mmm (No. 123)
Asymmetric unit:
Tb 0.0000 0.0000 0.0000 x1
Pm 0.5000 0.5000 0.5000 x1
Th 0.0000 0.0000 0.3282 x2
Th 0.5000 0.5000 0.1674 x2

Results
ΔE_f	0.04	eV per atom
V	195	Å³ per cell
D(E_F)	7.243	states/eV per cell
total magnetization	0.000	μB per formula unit

---

# 11
An optimized crystal structure of SrFeS2Cl. Source: Alexandria, functional PBE.

a b c (Å): 4.5984 4.5984 5.0219
angles (deg): 90.00 90.00 90.00
Space group P4/mmm (No. 123)
Asymmetric unit:
Sr 0.0000 0.0000 0.0000 x1
Fe 0.5000 0.5000 0.5000 x1
S 0.0000 0.5000 0.5000 x2
Cl 0.5000 0.5000 0.0000 x1

Results
energy above the lowest structure with this stoichiometry	0	meV/atom
V	106	Å³ per cell
D(E_F)	4.150	states/eV per cell
total magnetization	3.524	μB per formula unit
energy relative to the elements, uncorrected	-1022	meV/atom

---

# 12
An optimized crystal structure of Na2Ag2Rh. Source: Alexandria, functional PBE.

a b c (Å): 6.8646 6.8646 4.6110
angles (deg): 90.00 90.00 90.00
Space group P4/mbm (No. 127)
Asymmetric unit:
Na 0.1776 0.3224 0.0000 x4
Ag 0.1385 0.6385 0.5000 x4
Rh 0.0000 0.0000 0.5000 x2

Results
ΔE_f	0.27	eV per atom
V	217	Å³ per cell
D(E_F)	7.365	states/eV per cell
total magnetization	0.000	μB per formula unit